--- i ---
Entry from the Alexandria database: a relaxed structure of PmGe3Rh (PBE).

The structure in CIF format:
```
data_PmGe3Rh
_cell_length_a 4.405
_cell_length_b 4.405
_cell_length_c 5.953
_cell_angle_alpha 111.71
_cell_angle_beta 111.71
_cell_angle_gamma 90.00
_space_group_name_H-M_alt 'P 1'
_space_group_IT_number 1
loop_
_space_group_symop_operation_xyz
'x,y,z'
loop_
_atom_site_label
_atom_site_type_symbol
_atom_site_fract_x
_atom_site_fract_y
_atom_site_fract_z
Pm1 Pm 0.995 0.995 0.991
Ge1 Ge 0.260 0.760 0.520
Ge2 Ge 0.760 0.260 0.520
Ge3 Ge 0.420 0.420 0.840
Rh1 Rh 0.655 0.655 0.311
```

ρ: 7.86 g cm⁻³
SG: I4mm, No. 107
Crystal system: tetragonal
Density of states at the Fermi level: 0.292 states/eV per atom

***

--- ii ---
Entry from the Alexandria database: a relaxed structure of PmGe3Rh (PBE).

The structure in CIF format:
```
data_PmGe3Rh
_cell_length_a 5.821
_cell_length_b 5.606
_cell_length_c 5.963
_cell_angle_alpha 90.00
_cell_angle_beta 90.00
_cell_angle_gamma 88.78
_space_group_name_H-M_alt 'P 1'
_space_group_IT_number 1
loop_
_space_group_symop_operation_xyz
'x,y,z'
loop_
_atom_site_label
_atom_site_type_symbol
_atom_site_fract_x
_atom_site_fract_y
_atom_site_fract_z
Pm1 Pm 0.227 0.625 0.750
Pm2 Pm 0.773 0.375 0.250
Ge1 Ge 0.694 0.868 0.975
Ge2 Ge 0.306 0.132 0.475
Ge3 Ge 0.300 0.562 0.250
Ge4 Ge 0.306 0.132 0.025
Ge5 Ge 0.700 0.438 0.750
Ge6 Ge 0.694 0.868 0.525
Rh1 Rh 0.993 0.120 0.750
Rh2 Rh 0.007 0.880 0.250
```

ρ: 7.95 g cm⁻³
SG: P2_1/m, No. 11
Crystal system: monoclinic
Density of states at the Fermi level: 0.481 states/eV per atom

***

What should be chosen as the least stable of them? Choose ii.